Entry 1:
Compound: POsSe2
Source: Alexandria via LeMat-Bulk
Functional: GGA-PBE
Structure: relaxed

Calculated values
formation energy from raw total energies: 286 meV/atom

The structure in CIF format:
```
data_POsSe2
_chemical_formula_sum 'P1 Os1 Se2'
_symmetry_space_group_name_H-M 'P 4 m m'
_symmetry_Int_Tables_number 99
_cell_length_a 2.870
_cell_length_b 2.870
_cell_length_c 9.426
_cell_angle_alpha 90.00
_cell_angle_beta 90.00
_cell_angle_gamma 90.00
loop_
_symmetry_equiv_pos_as_xyz
'x,y,z'
'-y,x,z'
'-x,-y,z'
'y,-x,z'
'-x,y,z'
'y,x,z'
'x,-y,z'
'-y,-x,z'
loop_
_atom_site_label
_atom_site_type_symbol
_atom_site_fract_x
_atom_site_fract_y
_atom_site_fract_z
P1 P 0.000 0.000 0.000
Os1 Os 0.500 0.500 0.850
Se1 Se 0.000 0.000 0.656
Se2 Se 0.500 0.500 0.325
```

=====

Entry 2:
Compound: POsSe
Source: Alexandria via LeMat-Bulk
Functional: GGA-PBE
Structure: relaxed

Calculated values
formation energy from raw total energies: -315 meV/atom

The structure in CIF format:
```
data_POsSe
_chemical_formula_sum 'P4 Os4 Se4'
_symmetry_space_group_name_H-M 'P 1 21/c 1'
_symmetry_Int_Tables_number 14
_cell_length_a 5.993
_cell_length_b 5.984
_cell_length_c 6.079
_cell_angle_alpha 90.00
_cell_angle_beta 112.15
_cell_angle_gamma 90.00
loop_
_symmetry_equiv_pos_as_xyz
'x,y,z'
'-x,-y,-z'
'-x,y+1/2,-z+1/2'
'x,-y+1/2,z+1/2'
loop_
_atom_site_label
_atom_site_type_symbol
_atom_site_fract_x
_atom_site_fract_y
_atom_site_fract_z
P1 P 0.142 0.131 0.384
Os1 Os 0.263 0.012 0.791
Se1 Se 0.335 0.625 0.694
```

=====

Entry 3:
Compound: POsSe2
Source: Alexandria via LeMat-Bulk
Functional: GGA-PBE
Structure: relaxed

Calculated values
formation energy from raw total energies: 139 meV/atom

The structure in CIF format:
```
data_POsSe2
_chemical_formula_sum 'P2 Os2 Se4'
_symmetry_space_group_name_H-M 'C m m m'
_symmetry_Int_Tables_number 65
_symmetry_space_group_name_Hall '-C 2 2'
_cell_length_a 4.633
_cell_length_b 8.858
_cell_length_c 3.833
_cell_angle_alpha 90.00
_cell_angle_beta 90.00
_cell_angle_gamma 90.00
loop_
_atom_site_label
_atom_site_type_symbol
_atom_site_fract_x
_atom_site_fract_y
_atom_site_fract_z
P1 P 0.000 0.000 0.000
Os1 Os 0.000 0.500 0.000
Se1 Se 0.000 0.315 0.500
```

=====

Entry 4:
Compound: Th4P2OsSe
Source: Alexandria via LeMat-Bulk
Functional: GGA-PBE
Structure: relaxed

Calculated values
formation energy from raw total energies: -1215 meV/atom

The structure in CIF format:
```
data_Th4P2OsSe
_chemical_formula_sum 'Th4 P2 Os1 Se1'
_symmetry_space_group_name_H-M 'P 1 2/m 1'
_symmetry_Int_Tables_number 10
_cell_length_a 7.252
_cell_length_b 4.119
_cell_length_c 7.298
_cell_angle_alpha 90.00
_cell_angle_beta 109.10
_cell_angle_gamma 90.00
loop_
_symmetry_equiv_pos_as_xyz
'x,y,z'
'-x,-y,-z'
'-x,y,-z'
'x,-y,z'
loop_
_atom_site_label
_atom_site_type_symbol
_atom_site_fract_x
_atom_site_fract_y
_atom_site_fract_z
Th1 Th 0.241 0.000 0.236
Th2 Th 0.257 0.500 0.766
P1 P 0.000 0.000 0.500
P2 P 0.000 0.500 0.000
Os1 Os 0.500 0.000 0.000
Se1 Se 0.500 0.500 0.500
```

=====

Entry 5:
Compound: Th4POsSe2
Source: Alexandria via LeMat-Bulk
Functional: GGA-PBE
Structure: relaxed

Calculated values
formation energy from raw total energies: -1280 meV/atom

The structure in CIF format:
```
data_Th4POsSe2
_chemical_formula_sum 'Th4 P1 Os1 Se2'
_symmetry_space_group_name_H-M 'P 1 2/m 1'
_symmetry_Int_Tables_number 10
_cell_length_a 7.344
_cell_length_b 4.099
_cell_length_c 7.441
_cell_angle_alpha 90.00
_cell_angle_beta 108.60
_cell_angle_gamma 90.00
loop_
_symmetry_equiv_pos_as_xyz
'x,y,z'
'-x,-y,-z'
'-x,y,-z'
'x,-y,z'
loop_
_atom_site_label
_atom_site_type_symbol
_atom_site_fract_x
_atom_site_fract_y
_atom_site_fract_z
Th1 Th 0.230 0.000 0.221
Th2 Th 0.256 0.500 0.772
P1 P 0.500 0.000 0.000
Os1 Os 0.000 0.500 0.000
Se1 Se 0.000 0.000 0.500
Se2 Se 0.500 0.500 0.500
```

=====

Entry 6:
Compound: Th6P2Os3Se
Source: Alexandria via LeMat-Bulk
Functional: GGA-PBE
Structure: relaxed

Calculated values
formation energy from raw total energies: -858 meV/atom

The structure in CIF format:
```
data_Th6P2Os3Se
_chemical_formula_sum 'Th12 P4 Os6 Se2'
_symmetry_space_group_name_H-M 'C 1 2/m 1'
_symmetry_Int_Tables_number 12
_cell_length_a 18.446
_cell_length_b 4.111
_cell_length_c 8.524
_cell_angle_alpha 90.00
_cell_angle_beta 106.06
_cell_angle_gamma 90.00
loop_
_symmetry_equiv_pos_as_xyz
'x,y,z'
'-x,-y,-z'
'-x,y,-z'
'x,-y,z'
'x+1/2,y+1/2,z'
'-x+1/2,-y+1/2,-z'
'-x+1/2,y+1/2,-z'
'x+1/2,-y+1/2,z'
loop_
_atom_site_label
_atom_site_type_symbol
_atom_site_fract_x
_atom_site_fract_y
_atom_site_fract_z
Th1 Th 0.003 0.000 0.231
Th2 Th 0.164 0.500 0.090
Th3 Th 0.175 0.500 0.574
P1 P 0.166 0.000 0.829
Os1 Os 0.000 0.500 0.000
Os2 Os 0.165 0.000 0.330
Se1 Se 0.000 0.500 0.500
```

=====

Entry 7:
Compound: Th4POs2Se
Source: Alexandria via LeMat-Bulk
Functional: GGA-PBE
Structure: relaxed

Calculated values
formation energy from raw total energies: -890 meV/atom

The structure in CIF format:
```
data_Th4POs2Se
_chemical_formula_sum 'Th4 P1 Os2 Se1'
_symmetry_space_group_name_H-M 'P 1 2/m 1'
_symmetry_Int_Tables_number 10
_cell_length_a 7.144
_cell_length_b 4.114
_cell_length_c 7.497
_cell_angle_alpha 90.00
_cell_angle_beta 108.25
_cell_angle_gamma 90.00
loop_
_symmetry_equiv_pos_as_xyz
'x,y,z'
'-x,-y,-z'
'-x,y,-z'
'x,-y,z'
loop_
_atom_site_label
_atom_site_type_symbol
_atom_site_fract_x
_atom_site_fract_y
_atom_site_fract_z
Th1 Th 0.236 0.000 0.223
Th2 Th 0.252 0.500 0.772
P1 P 0.000 0.000 0.500
Os1 Os 0.000 0.500 0.000
Os2 Os 0.500 0.000 0.000
Se1 Se 0.500 0.500 0.500
```

=====

Entry 8:
Compound: SiP2Os
Source: Alexandria via LeMat-Bulk
Functional: GGA-PBE
Structure: relaxed

Calculated values
formation energy from raw total energies: 234 meV/atom

The structure in CIF format:
```
data_SiP2Os
_chemical_formula_sum 'Si1 P2 Os1'
_symmetry_space_group_name_H-M 'P 1 m 1'
_symmetry_Int_Tables_number 6
_cell_length_a 3.117
_cell_length_b 3.539
_cell_length_c 5.558
_cell_angle_alpha 90.00
_cell_angle_beta 106.12
_cell_angle_gamma 90.00
loop_
_symmetry_equiv_pos_as_xyz
'x,y,z'
'x,-y,z'
loop_
_atom_site_label
_atom_site_type_symbol
_atom_site_fract_x
_atom_site_fract_y
_atom_site_fract_z
Si1 Si 0.000 0.000 0.000
P1 P 0.343 0.500 0.684
P2 P 0.783 0.000 0.562
Os1 Os 0.563 0.500 0.128
```

=====

Entry 9:
Compound: Si2POs
Source: Alexandria via LeMat-Bulk
Functional: GGA-PBE
Structure: relaxed

Calculated values
formation energy from raw total energies: 330 meV/atom

The structure in CIF format:
```
data_Si2POs
_chemical_formula_sum 'Si8 P4 Os4'
_symmetry_space_group_name_H-M 'F -4 3 m'
_symmetry_Int_Tables_number 216
_symmetry_space_group_name_Hall 'F -4 2 3'
_cell_length_a 6.039
_cell_length_b 6.039
_cell_length_c 6.039
_cell_angle_alpha 90.00
_cell_angle_beta 90.00
_cell_angle_gamma 90.00
loop_
_atom_site_label
_atom_site_type_symbol
_atom_site_fract_x
_atom_site_fract_y
_atom_site_fract_z
Si1 Si 0.000 0.000 0.000
Si2 Si 0.250 0.250 0.250
P1 P 0.250 0.250 0.750
Os1 Os 0.000 0.000 0.500
```

=====

Entry 10:
Compound: Si2POs
Source: Alexandria via LeMat-Bulk
Functional: GGA-PBE
Structure: relaxed

Calculated values
formation energy from raw total energies: 200 meV/atom

The structure in CIF format:
```
data_Si2POs
_chemical_formula_sum 'Si2 P1 Os1'
_symmetry_space_group_name_H-M 'P 4/m m m'
_symmetry_Int_Tables_number 123
_symmetry_space_group_name_Hall '-P 4 2'
_cell_length_a 2.895
_cell_length_b 2.895
_cell_length_c 6.687
_cell_angle_alpha 90.00
_cell_angle_beta 90.00
_cell_angle_gamma 90.00
loop_
_atom_site_label
_atom_site_type_symbol
_atom_site_fract_x
_atom_site_fract_y
_atom_site_fract_z
Si1 Si 0.000 0.000 0.229
P1 P 0.500 0.500 0.500
Os1 Os 0.500 0.500 0.000
```

=====

Entry 11:
Compound: Si4POs
Source: Alexandria via LeMat-Bulk
Functional: GGA-PBE
Structure: relaxed

Calculated values
formation energy from raw total energies: 879 meV/atom

The structure in CIF format:
```
data_Si4POs
_chemical_formula_sum 'Si16 P4 Os4'
_symmetry_space_group_name_H-M 'F -4 3 m'
_symmetry_Int_Tables_number 216
_symmetry_space_group_name_Hall 'F -4 2 3'
_cell_length_a 7.002
_cell_length_b 7.002
_cell_length_c 7.002
_cell_angle_alpha 90.00
_cell_angle_beta 90.00
_cell_angle_gamma 90.00
loop_
_atom_site_label
_atom_site_type_symbol
_atom_site_fract_x
_atom_site_fract_y
_atom_site_fract_z
Si1 Si 0.124 0.124 0.376
P1 P 0.250 0.250 0.750
Os1 Os 0.000 0.000 0.000
```

=====

Entry 12:
Compound: Si3POs
Source: Alexandria via LeMat-Bulk
Functional: GGA-PBE
Structure: relaxed

Calculated values
energy above the most stable polymorph in this dataset: 641.9 meV per atom
formation energy from raw total energies: 1261 meV/atom

The structure in CIF format:
```
data_Si3POs
_chemical_formula_sum 'Si3 P1 Os1'
_symmetry_space_group_name_H-M 'P m -3 m'
_symmetry_Int_Tables_number 221
_symmetry_space_group_name_Hall '-P 4 2 3'
_cell_length_a 4.346
_cell_length_b 4.346
_cell_length_c 4.346
_cell_angle_alpha 90.00
_cell_angle_beta 90.00
_cell_angle_gamma 90.00
loop_
_atom_site_label
_atom_site_type_symbol
_atom_site_fract_x
_atom_site_fract_y
_atom_site_fract_z
Si1 Si 0.000 0.000 0.500
P1 P 0.000 0.000 0.000
Os1 Os 0.500 0.500 0.500
```

=====

Repeat the third record exactly.
Compound: POsSe2
Source: Alexandria via LeMat-Bulk
Functional: GGA-PBE
Structure: relaxed

Calculated values
formation energy from raw total energies: 139 meV/atom

The structure in CIF format:
```
data_POsSe2
_chemical_formula_sum 'P2 Os2 Se4'
_symmetry_space_group_name_H-M 'C m m m'
_symmetry_Int_Tables_number 65
_symmetry_space_group_name_Hall '-C 2 2'
_cell_length_a 4.633
_cell_length_b 8.858
_cell_length_c 3.833
_cell_angle_alpha 90.00
_cell_angle_beta 90.00
_cell_angle_gamma 90.00
loop_
_atom_site_label
_atom_site_type_symbol
_atom_site_fract_x
_atom_site_fract_y
_atom_site_fract_z
P1 P 0.000 0.000 0.000
Os1 Os 0.000 0.500 0.000
Se1 Se 0.000 0.315 0.500
```

=====

Question: Number 10 is which compound?
Answer: Si2POs